Computed, not measured: a relaxed structure of SnH6CI3N at the GGA-PBE level of DFT. Values from VASP.

The structure in Quantum ESPRESSO input format:
```
&SYSTEM
  ibrav = 0, nat = 48, ntyp = 5
/
ATOMIC_SPECIES
H 1.01 H.upf
Sn 118.71 Sn.upf
C 12.01 C.upf
I 126.90 I.upf
N 14.01 N.upf
CELL_PARAMETERS angstrom
-0.3485 5.0465 -6.8370
-8.9793 1.3376 1.4451
2.6769 10.0797 7.3035
ATOMIC_POSITIONS crystal
H 0.9996 0.6470 0.8159
Sn 0.0000 0.0000 0.5000
H 0.1593 0.5869 0.7500
H 0.0004 0.3530 0.3159
H 0.8419 0.4476 0.7500
C 0.9704 0.4398 0.7500
I 0.7004 0.2067 0.0226
H 0.5112 0.1167 0.6794
I 0.7996 0.7067 0.5226
I 0.2996 0.7933 0.9774
C 0.4704 0.0602 0.7500
H 0.4888 0.8833 0.1794
N 0.4629 0.0900 0.2500
H 0.3419 0.0524 0.7500
C 0.5296 0.9398 0.2500
H 0.4996 0.8530 0.8159
Sn 0.5000 0.5000 0.5000
H 0.9888 0.6167 0.1794
H 0.4888 0.8833 0.3206
H 0.4996 0.8530 0.6841
I 0.7996 0.7067 0.9774
H 0.5004 0.1470 0.3159
Sn 0.0000 0.0000 0.0000
I 0.9611 0.0155 0.7500
H 0.8407 0.4131 0.2500
I 0.2004 0.2933 0.4774
I 0.2004 0.2933 0.0226
H 0.9888 0.6167 0.3206
H 0.6593 0.9131 0.7500
I 0.7004 0.2067 0.4774
N 0.9629 0.4100 0.2500
H 0.3407 0.0869 0.2500
N 0.0371 0.5900 0.7500
H 0.5112 0.1167 0.8206
C 0.0296 0.5602 0.2500
H 0.0004 0.3530 0.1841
H 0.0112 0.3833 0.8206
H 0.0112 0.3833 0.6794
N 0.5371 0.9100 0.7500
H 0.9996 0.6470 0.6841
I 0.2996 0.7933 0.5226
I 0.4611 0.4845 0.7500
I 0.0389 0.9845 0.2500
H 0.6581 0.9476 0.2500
I 0.5389 0.5155 0.2500
H 0.1581 0.5524 0.2500
Sn 0.5000 0.5000 0.0000
H 0.5004 0.1470 0.1841
```

Summary:
- Final energy: -4.2468 eV/atom
- Total moment: 0.000 μB/f.u.
- SG: Pnma



Computed, not measured: a relaxed structure of Ti4Cr at the GGA-PBE level of DFT. Values from VASP.

The structure in Quantum ESPRESSO input format:
```
&SYSTEM
  ibrav = 0, nat = 5, ntyp = 2
/
ATOMIC_SPECIES
Ti 47.87 Ti.upf
Cr 52.00 Cr.upf
CELL_PARAMETERS angstrom
-0.3879 -0.8596 4.3963
4.4149 0.6739 0.5213
-0.7586 4.3616 0.7858
ATOMIC_POSITIONS crystal
Ti 0.5000 0.5000 0.0000
Ti 0.5000 0.0000 0.5000
Ti 0.0000 0.0000 0.0000
Ti 0.0000 0.5000 0.5000
Cr 0.5000 0.5000 0.5000
```

Summary:
- Final energy: -7.6905 eV/atom
- Formation enthalpy at 0 K: 0.55 eV per atom
- Total moment: 0.000 μB/f.u.
- SG: Pm-3m



Computed, not measured: a relaxed structure of Tb3GeRh3 at the GGA-PBE level of DFT. Values from VASP.

The structure in Quantum ESPRESSO input format:
```
&SYSTEM
  ibrav = 0, nat = 14, ntyp = 3
/
ATOMIC_SPECIES
Tb 158.93 Tb.upf
Ge 72.64 Ge.upf
Rh 102.91 Rh.upf
CELL_PARAMETERS angstrom
4.1343 0.0000 0.0000
-2.0671 5.2482 0.0000
0.0000 0.0000 13.3487
ATOMIC_POSITIONS crystal
Tb 0.2061 0.4121 0.6057
Ge 0.5000 0.0000 0.5000
Rh 0.9188 0.8377 0.9110
Rh 0.0812 0.1623 0.4110
Rh 0.9188 0.8377 0.5890
Rh 0.7559 0.5117 0.7500
Tb 0.2061 0.4121 0.8943
Tb 0.7939 0.5879 0.3943
Rh 0.0812 0.1623 0.0890
Ge 0.5000 0.0000 0.0000
Tb 0.4823 0.9646 0.7500
Tb 0.7939 0.5879 0.1057
Tb 0.5177 0.0354 0.2500
Rh 0.2441 0.4883 0.2500
```

Summary:
- Final energy: -6.6345 eV/atom
- Formation enthalpy at 0 K: -0.84 eV per atom
- Total moment: 0.000 μB/f.u.
- SG: Cmcm



Computed, not measured: a relaxed structure of TbEr2Mn at the GGA-PBE level of DFT. Values from VASP.

The structure in Quantum ESPRESSO input format:
```
&SYSTEM
  ibrav = 0, nat = 4, ntyp = 3
/
ATOMIC_SPECIES
Er 167.26 Er.upf
Mn 54.94 Mn.upf
Tb 158.93 Tb.upf
CELL_PARAMETERS angstrom
-1.3106 -1.6422 2.6440
-1.2859 -3.0966 -0.4039
9.1939 -6.0454 2.9592
ATOMIC_POSITIONS crystal
Er 0.0816 0.0816 0.7551
Mn 0.0000 0.0000 0.0000
Tb 0.5000 0.5000 0.5000
Er 0.9184 0.9184 0.2449
```

Summary:
- Final energy: -5.2225 eV/atom
- Formation enthalpy at 0 K: 0.51 eV per atom
- Total moment: 3.104 μB/f.u.
- SG: R-3m



Computed, not measured: a relaxed structure of Ho6TlSn2Te3 at the GGA-PBE level of DFT. Values from VASP.

The structure in Quantum ESPRESSO input format:
```
&SYSTEM
  ibrav = 0, nat = 12, ntyp = 4
/
ATOMIC_SPECIES
Sn 118.71 Sn.upf
Ho 164.93 Ho.upf
Te 127.60 Te.upf
Tl 204.38 Tl.upf
CELL_PARAMETERS angstrom
4.3588 0.0000 0.0000
0.0000 8.7976 0.0376
-2.1794 -2.8224 9.2212
ATOMIC_POSITIONS crystal
Sn 0.1640 0.3251 0.3279
Ho 0.0004 0.7509 0.0008
Ho 0.3296 0.4297 0.6593
Ho 0.6704 0.5703 0.3407
Ho 0.9996 0.2491 0.9992
Te 0.5000 0.5000 0.0000
Tl 0.5000 0.0000 0.0000
Ho 0.6662 0.0850 0.3324
Te 0.1677 0.8280 0.3354
Te 0.8323 0.1720 0.6646
Sn 0.8360 0.6749 0.6721
Ho 0.3338 0.9150 0.6676
```

Summary:
- Final energy: -4.8670 eV/atom
- Formation energy from raw total energies: -90 kJ per mole of atoms
- Total moment: 0.000 μB/f.u.
- SG: C2/m



Computed, not measured: a relaxed structure of HoZn2Cu2 at the GGA-PBE level of DFT. Values from VASP.

The structure in Quantum ESPRESSO input format:
```
&SYSTEM
  ibrav = 0, nat = 5, ntyp = 3
/
ATOMIC_SPECIES
Zn 65.41 Zn.upf
Cu 63.55 Cu.upf
Ho 164.93 Ho.upf
CELL_PARAMETERS angstrom
-0.2713 2.3886 -3.0854
-2.8453 -2.2382 -1.4809
-5.3423 3.1160 0.4150
ATOMIC_POSITIONS crystal
Zn 0.2502 0.7498 0.5000
Cu 0.3905 0.3905 0.2153
Cu 0.6095 0.6095 0.7847
Ho 0.0000 0.0000 0.0000
Zn 0.7498 0.2502 0.5000
```

Summary:
- Final energy: -3.3112 eV/atom
- Formation enthalpy at 0 K: -0.25 eV per atom
- Total moment: 0.000 μB/f.u.
- SG: C2/m



Computed, not measured: a relaxed structure of MgBe2B8 at the GGA-PBE level of DFT. Values from VASP.

The structure in Quantum ESPRESSO input format:
```
&SYSTEM
  ibrav = 0, nat = 11, ntyp = 3
/
ATOMIC_SPECIES
B 10.81 B.upf
Be 9.01 Be.upf
Mg 24.30 Mg.upf
CELL_PARAMETERS angstrom
4.4096 -0.2643 1.6225
-1.1050 3.4541 2.0132
-0.4578 0.9661 6.7198
ATOMIC_POSITIONS crystal
B 0.5347 0.2827 0.2491
B 0.8082 0.1159 0.3845
B 0.1523 0.9854 0.3264
B 0.4653 0.7173 0.7509
Be 0.7964 0.5125 0.6748
B 0.1918 0.8841 0.6155
B 0.4456 0.1535 0.0377
Mg 0.0000 0.0000 0.0000
B 0.5544 0.8465 0.9623
B 0.8477 0.0146 0.6736
Be 0.2036 0.4875 0.3252
```

Summary:
- Final energy: -5.5107 eV/atom
- Formation enthalpy at 0 K: 0.17 eV per atom
- Total moment: 0.000 μB/f.u.
- SG: P-1



Computed, not measured: a relaxed structure of La5U2O12 at the GGA-PBE level of DFT. Values from VASP.

The structure in Quantum ESPRESSO input format:
```
&SYSTEM
  ibrav = 0, nat = 19, ntyp = 3
/
ATOMIC_SPECIES
La 138.91 La.upf
O 16.00 O.upf
U 238.03 U.upf
CELL_PARAMETERS angstrom
-2.7324 -4.8974 -3.2352
5.3371 3.6520 -3.5576
3.7315 -5.1938 4.7107
ATOMIC_POSITIONS crystal
La 0.3046 0.6092 0.1751
O 0.5020 0.0041 0.8181
O 0.9010 0.3335 0.0853
O 0.4091 0.3156 0.5770
U 0.2388 0.0000 0.0000
La 0.6954 0.3908 0.8249
O 0.5909 0.6844 0.4230
U 0.7612 0.0000 0.0000
La 0.0000 0.0000 0.5000
O 0.9991 0.9982 0.7984
O 0.0935 0.6844 0.4230
La 0.7014 0.4028 0.3659
O 0.9065 0.3156 0.5770
O 0.0009 0.0018 0.2016
O 0.4326 0.3335 0.0853
La 0.2986 0.5972 0.6341
O 0.4980 0.9959 0.1819
O 0.0990 0.6665 0.9147
O 0.5674 0.6665 0.9147
```

Summary:
- Final energy: -9.0030 eV/atom
- Formation energy from raw total energies: -327 kJ per mole of atoms
- Total moment: 3.000 μB/f.u.
- SG: C2/m



Computed, not measured: a relaxed structure of LaTlZn2 at the GGA-PBE level of DFT. Values from VASP.

The structure in Quantum ESPRESSO input format:
```
&SYSTEM
  ibrav = 0, nat = 4, ntyp = 3
/
ATOMIC_SPECIES
Zn 65.41 Zn.upf
La 138.91 La.upf
Tl 204.38 Tl.upf
CELL_PARAMETERS angstrom
4.4712 0.0000 0.0000
0.0000 3.7059 0.0382
0.0000 1.7585 5.9048
ATOMIC_POSITIONS crystal
Zn 0.0000 0.1803 0.0095
La 0.0000 0.4630 0.4536
Tl 0.5000 0.7815 0.8114
Zn 0.5000 0.0751 0.2255
```

Summary:
- Final energy: -2.6402 eV/atom
- Formation enthalpy at 0 K: -0.18 eV per atom
- Total moment: 0.000 μB/f.u.
- SG: Pm



Computed, not measured: a relaxed structure of Si2Te at the GGA-PBE level of DFT. Values from VASP.

The structure in Quantum ESPRESSO input format:
```
&SYSTEM
  ibrav = 0, nat = 3, ntyp = 2
/
ATOMIC_SPECIES
Si 28.09 Si.upf
Te 127.60 Te.upf
CELL_PARAMETERS angstrom
5.6364 -0.0122 -0.0076
4.3957 3.5280 -0.0076
4.3957 1.5405 3.1739
ATOMIC_POSITIONS crystal
Si 0.5346 0.5346 0.5346
Te 0.0036 0.0036 0.0036
Si 0.7951 0.7951 0.7951
```

Summary:
- Final energy: -4.3067 eV/atom
- Formation energy from raw total energies: 34 kJ per mole of atoms
- Total moment: 0.000 μB/f.u.
- SG: R3m



Computed, not measured: a relaxed structure of SrLa2SmS4 at the GGA-PBE level of DFT. Values from VASP.

The structure in Quantum ESPRESSO input format:
```
&SYSTEM
  ibrav = 0, nat = 8, ntyp = 4
/
ATOMIC_SPECIES
S 32.06 S.upf
Sr 87.62 Sr.upf
Sm 150.36 Sm.upf
La 138.91 La.upf
CELL_PARAMETERS angstrom
-0.2775 3.6687 1.8597
-7.1595 -0.3539 -0.3700
-2.5141 -3.1937 5.9252
ATOMIC_POSITIONS crystal
S 0.0000 0.2519 0.2554
Sr 0.5000 0.5000 0.0000
Sm 0.0000 0.5000 0.5000
S 0.5000 0.2569 0.7426
S 0.5000 0.7431 0.2574
La 0.0000 0.0000 0.0000
La 0.5000 0.0000 0.5000
S 0.0000 0.7481 0.7446
```

Summary:
- Final energy: -6.1855 eV/atom
- Formation energy from raw total energies: -202 kJ per mole of atoms
- Total moment: 0.000 μB/f.u.
- SG: P2/m